An optimized crystal structure of HfAlNi, computed with GGA-PBE.

## Properties
electronic total energy	-6.891	eV per atom
total moment	0.00	μB per cell

Cell: 6.328 6.328 4.062 Å, 90.00 90.00 120.00°
Element x y z (fractional)
Hf (0.000, 0.557, 0.000)
Hf (0.443, 0.443, 0.000)
Hf (0.557, 0.000, 0.000)
Al (0.000, 0.000, 0.000)
Al (0.333, 0.667, 0.500)
Al (0.667, 0.333, 0.500)
Ni (0.000, 0.237, 0.500)
Ni (0.237, 0.000, 0.500)
Ni (0.763, 0.763, 0.500)

***

An optimized crystal structure of ErIn2O4, computed with GGA-PBE.

## Properties
electronic total energy	-6.277	eV per atom
total moment	0.00	μB per cell

Cell: 6.655 6.655 6.655 Å, 60.00 60.00 60.00°
Element x y z (fractional)
Er (0.125, 0.125, 0.125)
Er (0.875, 0.875, 0.875)
In (0.000, 0.500, 0.500)
In (0.500, 0.000, 0.500)
In (0.500, 0.500, 0.000)
In (0.500, 0.500, 0.500)
O (0.257, 0.257, 0.257)
O (0.257, 0.257, 0.729)
O (0.257, 0.729, 0.257)
O (0.271, 0.743, 0.743)
O (0.729, 0.257, 0.257)
O (0.743, 0.271, 0.743)
O (0.743, 0.743, 0.271)
O (0.743, 0.743, 0.743)

***

An optimized crystal structure of K2PrGd2Mg3Cd, computed with GGA-PBE.

## Properties
electronic total energy	-2.054	eV per atom
total moment	0.08	μB per cell

Cell: 4.889 8.269 8.269 Å, 120.40 90.00 90.00°
Element x y z (fractional)
K (0.000, 0.167, 0.833)
K (0.000, 0.833, 0.167)
Pr (0.500, 0.127, 0.127)
Gd (0.500, 0.497, 0.877)
Gd (0.500, 0.877, 0.497)
Mg (0.000, 0.290, 0.506)
Mg (0.000, 0.506, 0.290)
Mg (0.000, 0.720, 0.720)
Cd (0.500, 0.512, 0.512)

***

Question: Number 2 is which compound?
Answer: ErIn2O4

***

Question: total moment of number 2 (ErIn2O4)?
Answer: 0.00 μB per cell

***

Question: Which formula does entry 1 have?
Answer: HfAlNi

***

Copy entry 3 word for word.
An optimized crystal structure of K2PrGd2Mg3Cd, computed with GGA-PBE.

## Properties
electronic total energy	-2.054	eV per atom
total moment	0.08	μB per cell

Cell: 4.889 8.269 8.269 Å, 120.40 90.00 90.00°
Element x y z (fractional)
K (0.000, 0.167, 0.833)
K (0.000, 0.833, 0.167)
Pr (0.500, 0.127, 0.127)
Gd (0.500, 0.497, 0.877)
Gd (0.500, 0.877, 0.497)
Mg (0.000, 0.290, 0.506)
Mg (0.000, 0.506, 0.290)
Mg (0.000, 0.720, 0.720)
Cd (0.500, 0.512, 0.512)